1.
A geometry-optimized LaO structure. Source: the Alexandria database, functional PBE-GGA.

Unit cell a=3.6571 b=6.3493 c=6.3493 alpha=121.27 beta=90.00 gamma=90.00
With the nearest neighbours (Å) after each atom.
Fractional positions:
La (0.0000, 0.0000, 0.0000)  4 O 2.36-2.53
La (0.5000, 0.3751, 0.7347)  5 O 2.37-2.62
La (0.5000, 0.7347, 0.3751)  5 O 2.37-2.62
O (0.0000, 0.0622, 0.6380)  5 La 2.53-2.62
O (0.0000, 0.6380, 0.0622)  5 La 2.53-2.62
O (0.5000, 0.7611, 0.7611)  4 La 2.36-2.37

Values from the calculation:
symmetry: Amm2
formation energy from raw total energies: -262 kJ per mole of atoms

***

2.
A geometry-optimized Ac2Al3 structure. Source: the Alexandria database, functional PBE-GGA.

Unit cell a=6.3660 b=6.3660 c=8.3883 alpha=90.00 beta=90.00 gamma=124.47
With the nearest neighbours (Å) after each atom.
Fractional positions:
Ac (0.1573, 0.8427, 0.9011)  8 Al 3.36-3.55
Ac (0.3427, 0.6573, 0.4011)  8 Al 3.36-3.55
Ac (0.6573, 0.3427, 0.5989)  8 Al 3.36-3.55
Ac (0.8427, 0.1573, 0.0989)  8 Al 3.36-3.55
Al (0.0000, 0.0000, 0.5000)  4 Al 2.77
Al (0.1576, 0.3424, 0.7500)  4 Al 2.77-2.97
Al (0.3424, 0.1576, 0.2500)  4 Al 2.77-2.97
Al (0.5000, 0.5000, 0.0000)  4 Al 2.77
Al (0.6576, 0.8424, 0.7500)  4 Al 2.77-2.97
Al (0.8424, 0.6576, 0.2500)  4 Al 2.77-2.97

Values from the calculation:
E above lowest polymorph: 27.7 meV/atom
E_form: -0.333 eV per atom
symmetry: Cmce